(1)
Compound: CsVAg3
Source: Alexandria via LeMat-Bulk
Functional: PBE-GGA
Structure: optimized geometry

Unit cell a=5.9408 b=5.9408 c=5.9408 alpha=90.00 beta=90.00 gamma=90.00
Closest atoms and distances in Å follow each position.
Fractional coordinates of all 5 atoms:
Cs1 0.0000 0.0000 0.0000  6 Ag 2.97
V1 0.5000 0.5000 0.5000  12 Ag 4.20
Ag1 0.0000 0.0000 0.5000  2 Cs 2.97
Ag2 0.0000 0.5000 0.0000  2 Cs 2.97
Ag3 0.5000 0.0000 0.0000  2 Cs 2.97

Computed properties:
The calculation puts the calculated formation energy at 1835 meV/atom. Its uncorrected energy is -0.1375 Ry per atom. The density of states at the Fermi level comes out at 1.6732 states/eV per atom. The space group is Pm-3m (221). For the magnetization, the calculation gives 3.256 μB/f.u.



(2)
Compound: CsVAg3
Source: Alexandria via LeMat-Bulk
Functional: PBE-GGA
Structure: optimized geometry

Unit cell a=5.3820 b=5.3820 c=5.3820 alpha=90.00 beta=90.00 gamma=90.00
Closest atoms and distances in Å follow each position.
Fractional coordinates of all 5 atoms:
Cs1 0.0000 0.0000 0.0000  12 Ag 3.81
V1 0.5000 0.5000 0.5000  6 Ag 2.69
Ag1 0.0000 0.5000 0.5000  2 V 2.69
Ag2 0.5000 0.0000 0.5000  2 V 2.69
Ag3 0.5000 0.5000 0.0000  2 V 2.69

Computed properties:
The calculation puts the calculated formation energy at 734 meV/atom. Its uncorrected energy is -0.2184 Ry per atom. The density of states at the Fermi level comes out at 1.5787 states/eV per atom. The space group is Pm-3m (221). For the magnetization, the calculation gives 3.314 μB/f.u.



(3)
Compound: CsAg2W
Source: Alexandria via LeMat-Bulk
Functional: PBE-GGA
Structure: optimized geometry

Unit cell a=5.1621 b=5.1621 c=5.1621 alpha=60.00 beta=60.00 gamma=60.00
Closest atoms and distances in Å follow each position.
Fractional coordinates of all 4 atoms:
Cs1 0.0000 0.0000 0.0000  8 Ag 3.16
Ag1 0.2500 0.2500 0.2500  4 W 3.16, 4 Cs 3.16
Ag2 0.7500 0.7500 0.7500  4 W 3.16, 4 Cs 3.16
W1 0.5000 0.5000 0.5000  8 Ag 3.16

Computed properties:
The calculation puts the calculated formation energy at 1646 meV/atom. Its uncorrected energy is -0.2375 Ry per atom. The density of states at the Fermi level comes out at 0.5697 states/eV per atom. The space group is Fm-3m (225). For the magnetization, the calculation gives 4.017 μB/f.u.



(4)
Compound: CsAgW2
Source: Alexandria via LeMat-Bulk
Functional: PBE-GGA
Structure: optimized geometry

Unit cell a=4.7669 b=4.7669 c=4.7669 alpha=60.00 beta=60.00 gamma=60.00
Closest atoms and distances in Å follow each position.
Fractional coordinates of all 4 atoms:
Cs1 0.0000 0.0000 0.0000  8 W 2.92
Ag1 0.5000 0.5000 0.5000  8 W 2.92
W1 0.2500 0.2500 0.2500  4 Ag 2.92, 4 Cs 2.92
W2 0.7500 0.7500 0.7500  4 Cs 2.92, 4 Ag 2.92

Computed properties:
The calculation puts the calculated formation energy at 2400 meV/atom. Its uncorrected energy is -0.3677 Ry per atom. The density of states at the Fermi level comes out at 1.1940 states/eV per atom. The space group is Fm-3m (225). For the magnetization, the calculation gives 0.000 μB/f.u.



(5)
Compound: CsAgW3
Source: Alexandria via LeMat-Bulk
Functional: PBE-GGA
Structure: optimized geometry

Unit cell a=4.9072 b=4.9072 c=4.9072 alpha=90.00 beta=90.00 gamma=90.00
Closest atoms and distances in Å follow each position.
Fractional coordinates of all 5 atoms:
Cs1 0.0000 0.0000 0.0000  6 W 2.45
Ag1 0.5000 0.5000 0.5000  12 W 3.47
W1 0.0000 0.0000 0.5000  2 Cs 2.45
W2 0.0000 0.5000 0.0000  2 Cs 2.45
W3 0.5000 0.0000 0.0000  2 Cs 2.45

Computed properties:
The calculation puts the calculated formation energy at 3913 meV/atom. Its uncorrected energy is -0.3381 Ry per atom. The density of states at the Fermi level comes out at 0.7699 states/eV per atom. The space group is Pm-3m (221). For the magnetization, the calculation gives 0.000 μB/f.u.



(6)
Compound: CsAgW2
Source: Alexandria via LeMat-Bulk
Functional: PBE-GGA
Structure: optimized geometry

Unit cell a=11.3863 b=11.3863 c=11.3863 alpha=158.72 beta=158.72 gamma=30.27
Closest atoms and distances in Å follow each position.
Fractional coordinates of all 8 atoms:
Cs1 0.0000 0.0000 0.0000  4 Ag 2.97, 4 W 3.26
Cs2 0.7500 0.2500 0.5000  4 Ag 2.97, 4 W 3.26
Ag1 0.2500 0.7500 0.5000  4 Cs 2.97, 4 W 3.02
Ag2 0.5000 0.5000 0.0000  4 Cs 2.97, 4 W 3.02
W1 0.2090 0.1250 0.5840  2 W 2.52
W2 0.3750 0.7910 0.9160  2 W 2.52
W3 0.5410 0.6250 0.4160  2 W 2.52
W4 0.8750 0.4590 0.0840  2 W 2.52

Computed properties:
The calculation puts the calculated formation energy at 1897 meV/atom. Its uncorrected energy is -0.4047 Ry per atom. The density of states at the Fermi level comes out at 1.1018 states/eV per atom. The space group is I-42d (122). For the magnetization, the calculation gives 0.000 μB/f.u.



(7)
Compound: CsAgW
Source: Alexandria via LeMat-Bulk
Functional: PBE-GGA
Structure: optimized geometry

Unit cell a=13.6993 b=5.1150 c=5.1136 alpha=90.00 beta=90.00 gamma=90.00
Closest atoms and distances in Å follow each position.
Fractional coordinates of all 12 atoms:
Cs1 0.2329 0.2500 0.0009  3 W 3.49-3.86, 4 Cs 3.65, 2 Ag 3.88
Cs2 0.2671 0.7500 0.5009  3 W 3.49-3.86, 4 Cs 3.65, 2 Ag 3.88
Cs3 0.7329 0.2500 0.4991  3 W 3.49-3.86, 4 Cs 3.65, 2 Ag 3.88
Cs4 0.7671 0.7500 0.9991  3 W 3.49-3.86, 4 Cs 3.65, 2 Ag 3.88
Ag1 0.0000 0.0000 0.5000  2 Ag 2.56
Ag2 0.0000 0.5000 0.5000  2 Ag 2.56
Ag3 0.5000 0.0000 0.0000  2 Ag 2.56
Ag4 0.5000 0.5000 0.0000  2 Ag 2.56
W1 0.0215 0.7500 0.0000  2 W 2.62, 4 Ag 2.87
W2 0.4785 0.2500 0.5000  2 W 2.62, 4 Ag 2.87
W3 0.5215 0.7500 0.5000  2 W 2.62, 4 Ag 2.87
W4 0.9785 0.2500 0.0000  2 W 2.62, 4 Ag 2.87

Computed properties:
The calculation puts the calculated formation energy at 1143 meV/atom. Its uncorrected energy is -0.3241 Ry per atom. The density of states at the Fermi level comes out at 1.0475 states/eV per atom. The space group is Pnma (62). For the magnetization, the calculation gives 0.096 μB/f.u.



(8)
Compound: CsAgW3
Source: Alexandria via LeMat-Bulk
Functional: PBE-GGA
Structure: optimized geometry

Unit cell a=5.0906 b=5.0906 c=5.0906 alpha=90.00 beta=90.00 gamma=90.00
Closest atoms and distances in Å follow each position.
Fractional coordinates of all 5 atoms:
Cs1 0.0000 0.0000 0.0000  12 W 3.60
Ag1 0.5000 0.5000 0.5000  6 W 2.55
W1 0.0000 0.5000 0.5000  2 Ag 2.55
W2 0.5000 0.0000 0.5000  2 Ag 2.55
W3 0.5000 0.5000 0.0000  2 Ag 2.55

Computed properties:
The calculation puts the calculated formation energy at 3170 meV/atom. Its uncorrected energy is -0.3927 Ry per atom. The density of states at the Fermi level comes out at 1.2868 states/eV per atom. The space group is Pm-3m (221). For the magnetization, the calculation gives 5.839 μB/f.u.



(9)
Compound: Cs3AgW
Source: Alexandria via LeMat-Bulk
Functional: PBE-GGA
Structure: optimized geometry

Unit cell a=6.9418 b=6.9418 c=6.9418 alpha=90.00 beta=90.00 gamma=90.00
Closest atoms and distances in Å follow each position.
Fractional coordinates of all 5 atoms:
Cs1 0.0000 0.0000 0.5000  2 Ag 3.47
Cs2 0.0000 0.5000 0.0000  2 Ag 3.47
Cs3 0.5000 0.0000 0.0000  2 Ag 3.47
Ag1 0.0000 0.0000 0.0000  6 Cs 3.47
W1 0.5000 0.5000 0.5000  12 Cs 4.91

Computed properties:
The calculation puts the calculated formation energy at 1363 meV/atom. Its uncorrected energy is -0.1698 Ry per atom. The density of states at the Fermi level comes out at 1.0953 states/eV per atom. The space group is Pm-3m (221). For the magnetization, the calculation gives 5.972 μB/f.u.



(10)
Compound: CsAgW
Source: Alexandria via LeMat-Bulk
Functional: PBE-GGA
Structure: optimized geometry

Unit cell a=9.4650 b=3.2895 c=11.2317 alpha=90.00 beta=90.00 gamma=90.00
Closest atoms and distances in Å follow each position.
Fractional coordinates of all 12 atoms:
Cs1 0.1425 0.2500 0.0987  5 Ag 3.26-3.61, 2 Cs 3.29
Cs2 0.3575 0.7500 0.5987  5 Ag 3.26-3.61, 2 Cs 3.29
Cs3 0.6425 0.2500 0.4013  5 Ag 3.26-3.61, 2 Cs 3.29
Cs4 0.8575 0.7500 0.9013  5 Ag 3.26-3.61, 2 Cs 3.29
Ag1 0.1724 0.2500 0.7955  2 W 3.11-3.19, 3 Cs 3.26-3.42, 2 Ag 3.29
Ag2 0.3276 0.7500 0.2955  2 W 3.11-3.19, 3 Cs 3.26-3.42, 2 Ag 3.29
Ag3 0.6724 0.2500 0.7045  2 W 3.11-3.19, 3 Cs 3.26-3.42, 2 Ag 3.29
Ag4 0.8276 0.7500 0.2045  2 W 3.11-3.19, 3 Cs 3.26-3.42, 2 Ag 3.29
W1 0.0271 0.7500 0.4246  2 W 2.42
W2 0.4729 0.2500 0.9246  2 W 2.42
W3 0.5271 0.7500 0.0754  2 W 2.42
W4 0.9729 0.2500 0.5754  2 W 2.42

Computed properties:
The calculation puts the calculated formation energy at 1092 meV/atom. Its uncorrected energy is -0.3279 Ry per atom. The density of states at the Fermi level comes out at 0.6326 states/eV per atom. The space group is Pnma (62). For the magnetization, the calculation gives 0.000 μB/f.u.



(11)
Compound: CsYAg3
Source: Alexandria via LeMat-Bulk
Functional: PBE-GGA
Structure: optimized geometry

Unit cell a=5.8091 b=5.8091 c=5.8091 alpha=90.00 beta=90.00 gamma=90.00
Closest atoms and distances in Å follow each position.
Fractional coordinates of all 5 atoms:
Cs1 0.0000 0.0000 0.0000  12 Ag 4.11
Y1 0.5000 0.5000 0.5000  6 Ag 2.90
Ag1 0.0000 0.5000 0.5000  2 Y 2.90
Ag2 0.5000 0.0000 0.5000  2 Y 2.90
Ag3 0.5000 0.5000 0.0000  2 Y 2.90

Computed properties:
The calculation puts the calculated formation energy at 381 meV/atom. Its uncorrected energy is -0.2053 Ry per atom. The density of states at the Fermi level comes out at 0.7335 states/eV per atom. The space group is Pm-3m (221). For the magnetization, the calculation gives 0.000 μB/f.u.



(12)
Compound: Cs2YAg2
Source: Alexandria via LeMat-Bulk
Functional: PBE-GGA
Structure: optimized geometry

Unit cell a=8.0239 b=8.0239 c=6.1678 alpha=90.00 beta=90.00 gamma=90.00
Closest atoms and distances in Å follow each position.
Fractional coordinates of all 10 atoms:
Cs1 0.1718 0.3282 0.0000  6 Ag 3.83-3.93, 5 Cs 3.90-4.20, 4 Y 4.28
Cs2 0.3282 0.8282 0.0000  6 Ag 3.83-3.93, 5 Cs 3.90-4.20, 4 Y 4.28
Cs3 0.6718 0.1718 0.0000  6 Ag 3.83-3.93, 5 Cs 3.90-4.20, 4 Y 4.28
Cs4 0.8282 0.6718 0.0000  6 Ag 3.83-3.93, 5 Cs 3.90-4.20, 4 Y 4.28
Y1 0.0000 0.0000 0.5000  4 Ag 3.16
Y2 0.5000 0.5000 0.5000  4 Ag 3.16
Ag1 0.1282 0.6282 0.5000  1 Ag 2.91, 2 Y 3.16
Ag2 0.3718 0.1282 0.5000  1 Ag 2.91, 2 Y 3.16
Ag3 0.6282 0.8718 0.5000  1 Ag 2.91, 2 Y 3.16
Ag4 0.8718 0.3718 0.5000  1 Ag 2.91, 2 Y 3.16

Computed properties:
The calculation puts the calculated formation energy at 279 meV/atom. Its uncorrected energy is -0.1834 Ry per atom. The density of states at the Fermi level comes out at 0.9971 states/eV per atom. The space group is P4/mbm (127). For the magnetization, the calculation gives 0.000 μB/f.u.



Repeat the eleventh record exactly.
Compound: CsYAg3
Source: Alexandria via LeMat-Bulk
Functional: PBE-GGA
Structure: optimized geometry

Unit cell a=5.8091 b=5.8091 c=5.8091 alpha=90.00 beta=90.00 gamma=90.00
Closest atoms and distances in Å follow each position.
Fractional coordinates of all 5 atoms:
Cs1 0.0000 0.0000 0.0000  12 Ag 4.11
Y1 0.5000 0.5000 0.5000  6 Ag 2.90
Ag1 0.0000 0.5000 0.5000  2 Y 2.90
Ag2 0.5000 0.0000 0.5000  2 Y 2.90
Ag3 0.5000 0.5000 0.0000  2 Y 2.90

Computed properties:
The calculation puts the calculated formation energy at 381 meV/atom. Its uncorrected energy is -0.2053 Ry per atom. The density of states at the Fermi level comes out at 0.7335 states/eV per atom. The space group is Pm-3m (221). For the magnetization, the calculation gives 0.000 μB/f.u.



What did the twelfth record say?
Compound: Cs2YAg2
Source: Alexandria via LeMat-Bulk
Functional: PBE-GGA
Structure: optimized geometry

Unit cell a=8.0239 b=8.0239 c=6.1678 alpha=90.00 beta=90.00 gamma=90.00
Closest atoms and distances in Å follow each position.
Fractional coordinates of all 10 atoms:
Cs1 0.1718 0.3282 0.0000  6 Ag 3.83-3.93, 5 Cs 3.90-4.20, 4 Y 4.28
Cs2 0.3282 0.8282 0.0000  6 Ag 3.83-3.93, 5 Cs 3.90-4.20, 4 Y 4.28
Cs3 0.6718 0.1718 0.0000  6 Ag 3.83-3.93, 5 Cs 3.90-4.20, 4 Y 4.28
Cs4 0.8282 0.6718 0.0000  6 Ag 3.83-3.93, 5 Cs 3.90-4.20, 4 Y 4.28
Y1 0.0000 0.0000 0.5000  4 Ag 3.16
Y2 0.5000 0.5000 0.5000  4 Ag 3.16
Ag1 0.1282 0.6282 0.5000  1 Ag 2.91, 2 Y 3.16
Ag2 0.3718 0.1282 0.5000  1 Ag 2.91, 2 Y 3.16
Ag3 0.6282 0.8718 0.5000  1 Ag 2.91, 2 Y 3.16
Ag4 0.8718 0.3718 0.5000  1 Ag 2.91, 2 Y 3.16

Computed properties:
The calculation puts the calculated formation energy at 279 meV/atom. Its uncorrected energy is -0.1834 Ry per atom. The density of states at the Fermi level comes out at 0.9971 states/eV per atom. The space group is P4/mbm (127). For the magnetization, the calculation gives 0.000 μB/f.u.